[1]
The following is a DFT calculation (GGA-PBE) of a relaxed Ce3PO6 crystal.

Properties
**Crystal system**: orthorhombic
**ρ**: 5.66 Mg/m³
**V**: 642.6 Å³/cell
**Fermi-level density of states**: 71.597 states/eV per cell
**Magnetization**: 3.00 μB/f.u.
**Formation energy (no corrections)**: -2.906 eV/atom

Cell lengths 9.1518, 11.4590, 6.1271 Å; angles 90.00, 90.00, 90.00 degrees
Closest atoms and distances in Å follow each position.
Space group Cmc2_1 (No. 36)
One atom of each set of equivalent atoms:
Ce 0.0000 0.0974 0.0000 [4 per cell]  5 O 2.19-2.44
Ce 0.1968 0.3918 0.0436 [8 per cell]  4 O 2.28-2.45
P 0.0000 0.3272 0.6038 [4 per cell]  3 O 1.65-1.66
O 0.0000 0.2775 0.1201 [4 per cell]  3 Ce 2.19-2.28
O 0.0000 0.4470 0.7573 [4 per cell]  1 P 1.66
O 0.1386 0.2527 0.7051 [8 per cell]  1 P 1.65
O 0.1627 0.0119 0.2722 [8 per cell]  4 Ce 2.35-2.44

[2]
The following is a DFT calculation (GGA-PBE) of a relaxed CePO5 crystal.

Properties
**Crystal system**: tetragonal
**ρ**: 3.81 Mg/m³
**V**: 218.7 Å³/cell
**Fermi-level density of states**: 12.221 states/eV per cell
**Magnetization**: 0.97 μB/f.u.
**Energy above the lowest structure with this stoichiometry**: 0.000 eV/f.u.
**Formation energy (no corrections)**: -2.429 eV/atom

Cell lengths 7.1918, 7.1918, 4.2287 Å; angles 90.00, 90.00, 90.00 degrees
Closest atoms and distances in Å follow each position.
Space group P4/nmm (No. 129, origin choice 2)
One atom of each set of equivalent atoms:
Ce 0.2500 0.2500 0.2383 [2 per cell]  6 O 2.10-2.32
P 0.2500 0.7500 0.0000 [2 per cell]  4 O 1.55
O 0.0726 0.7500 0.7937 [8 per cell]  1 P 1.55
O 0.2500 0.2500 0.7350 [2 per cell]  2 Ce 2.10-2.13

[3]
The following is a DFT calculation (GGA-PBE) of a relaxed Ce3P2O crystal.

Properties
**Crystal system**: monoclinic
**ρ**: 6.51 Mg/m³
**V**: 508.2 Å³/cell
**Fermi-level density of states**: 44.030 states/eV per cell
**Magnetization**: 1.43 μB/f.u.
**Formation energy (no corrections)**: -1.857 eV/atom

Cell lengths 12.3264, 5.6048, 7.7489 Å; angles 90.00, 108.32, 90.00 degrees
Closest atoms and distances in Å follow each position.
Space group C2/c (No. 15)
One atom of each set of equivalent atoms:
Ce 0.0000 0.0009 0.2500 [4 per cell]  2 O 2.79-2.81, 4 P 2.81
Ce 0.1492 0.5001 0.0745 [8 per cell]  2 O 2.61, 4 P 2.82-2.84
P 0.1739 0.0001 0.0870 [8 per cell]  6 Ce 2.81-2.84
O 0.0000 0.4988 0.2500 [4 per cell]  6 Ce 2.61-2.81

[4]
The following is a DFT calculation (GGA-PBE) of a relaxed Ce3P2O2 crystal.

Properties
**Crystal system**: monoclinic
**ρ**: 6.03 Mg/m³
**V**: 283.2 Å³/cell
**Fermi-level density of states**: 26.817 states/eV per cell
**Magnetization**: 2.04 μB/f.u.
**Formation energy (no corrections)**: -2.295 eV/atom

Cell lengths 12.1916, 3.9260, 6.9534 Å; angles 90.00, 121.69, 90.00 degrees
Closest atoms and distances in Å follow each position.
Space group C2/m (No. 12)
One atom of each set of equivalent atoms:
Ce 0.0000 0.0000 0.0000 [2 per cell]  2 O 2.28
Ce 0.1849 0.0000 0.7228 [4 per cell]  3 O 2.33-2.43
P 0.0649 0.5000 0.3377 [4 per cell]  4 Ce 2.84-3.01
O 0.2087 0.0000 0.0917 [4 per cell]  4 Ce 2.28-2.43

[5]
The following is a DFT calculation (GGA-PBE) of a relaxed CeP2O6 crystal.

Properties
**Crystal system**: trigonal
**ρ**: 2.88 Mg/m³
**V**: 514.8 Å³/cell
**Magnetization**: 0.00 μB/f.u.
**Formation energy (no corrections)**: -2.430 eV/atom

Cell lengths 5.7131, 5.7131, 18.2124 Å; angles 90.00, 90.00, 120.00 degrees
Closest atoms and distances in Å follow each position.
Space group R3 (No. 146, hexagonal axes)
One atom of each set of equivalent atoms:
Ce 0.0000 0.0000 0.0000 [3 per cell]  6 O 2.29-2.30
P 0.0000 0.0000 0.2745 [3 per cell]  3 O 1.55
P 0.0000 0.0000 0.3924 [3 per cell]  3 O 1.55
O 0.1791 0.3628 0.0788 [9 per cell]  1 P 1.55
O 0.1789 0.8162 0.9215 [9 per cell]  1 P 1.55

[6]
The following is a DFT calculation (GGA-PBE) of a relaxed CePO5 crystal.

Properties
**Crystal system**: monoclinic
**ρ**: 4.90 Mg/m³
**V**: 340.6 Å³/cell
**Fermi-level density of states**: 11.307 states/eV per cell
**Magnetization**: 0.90 μB/f.u.
**Energy above the lowest structure with this stoichiometry**: 1.489 eV/f.u.
**Formation energy (no corrections)**: -2.216 eV/atom

Cell lengths 8.4529, 6.1944, 7.1828 Å; angles 90.00, 115.10, 90.00 degrees
Closest atoms and distances in Å follow each position.
Space group C2/c (No. 15)
One atom of each set of equivalent atoms:
Ce 0.0000 0.0451 0.2500 [4 per cell]  7 O 2.20-2.41
P 0.0000 0.5000 0.0000 [4 per cell]  4 O 1.64-1.69
O 0.0000 0.4338 0.2500 [4 per cell]  2 P 1.84
O 0.0087 0.2306 0.9683 [8 per cell]  1 P 1.69
O 0.2134 0.4876 0.6080 [8 per cell]  1 P 1.64

[7]
The following is a DFT calculation (GGA-PBE) of a relaxed Ce3PO3 crystal.

Properties
**Crystal system**: trigonal
**ρ**: 5.97 Mg/m³
**V**: 833.0 Å³/cell
**Fermi-level density of states**: 72.543 states/eV per cell
**Magnetization**: 3.06 μB/f.u.
**Formation energy (no corrections)**: -2.755 eV/atom

Cell lengths 6.8355, 6.8355, 20.5863 Å; angles 90.00, 90.00, 120.00 degrees
Closest atoms and distances in Å follow each position.
Space group R-3 (No. 148, hexagonal axes)
One atom of each set of equivalent atoms:
Ce 0.0015 0.6496 0.4061 [18 per cell]  4 O 2.34-2.39
P 0.0000 0.0000 0.1666 [6 per cell]  6 Ce 2.94-2.95
O 0.0047 0.6837 0.6234 [18 per cell]  4 Ce 2.34-2.39

[8]
The following is a DFT calculation (GGA-PBE) of a relaxed Ce4PO5 crystal.

Properties
**Crystal system**: orthorhombic
**ρ**: 5.81 Mg/m³
**V**: 383.9 Å³/cell
**Fermi-level density of states**: 29.207 states/eV per cell
**Magnetization**: 3.00 μB/f.u.
**Formation energy (no corrections)**: -2.778 eV/atom

Cell lengths 7.4371, 9.0435, 5.7086 Å; angles 90.00, 90.00, 90.00 degrees
Closest atoms and distances in Å follow each position.
Space group Pmmn (No. 59, origin choice 2)
One atom of each set of equivalent atoms:
Ce 0.0075 0.2500 0.0232 [4 per cell]  3 O 2.20-2.32
Ce 0.2500 0.0256 0.5198 [4 per cell]  5 O 2.34-2.48
P 0.2500 0.7500 0.3128 [2 per cell]  4 Ce 2.71-2.76
O 0.0027 0.5604 0.7343 [8 per cell]  3 Ce 2.20-2.39
O 0.2500 0.2500 0.7683 [2 per cell]  4 Ce 2.32-2.48

[9]
The following is a DFT calculation (GGA-PBE) of a relaxed CeP3O9 crystal.

Properties
**Crystal system**: orthorhombic
**ρ**: 3.41 Mg/m³
**V**: 735.4 Å³/cell
**Fermi-level density of states**: 26.836 states/eV per cell
**Magnetization**: 1.00 μB/f.u.
**Formation energy (no corrections)**: -2.472 eV/atom

Cell lengths 8.7021, 11.3567, 7.4417 Å; angles 90.00, 90.00, 90.00 degrees
Closest atoms and distances in Å follow each position.
Space group C222_1 (No. 20)
One atom of each set of equivalent atoms:
Ce 0.1288 0.0000 0.0000 [4 per cell]  6 O 2.42-2.49
P 0.0076 0.3243 0.4529 [8 per cell]  4 O 1.49-1.62
P 0.2487 0.5000 0.0000 [4 per cell]  4 O 1.52-1.59
O 0.0000 0.3727 0.2500 [4 per cell]  2 P 1.61
O 0.0238 0.1953 0.0370 [8 per cell]  1 P 1.49
O 0.1392 0.3910 0.9597 [8 per cell]  2 P 1.59-1.62
O 0.1512 0.3723 0.5355 [8 per cell]  1 P 1.50
O 0.1551 0.0182 0.6675 [8 per cell]  1 P 1.52

[10]
The following is a DFT calculation (GGA-PBE) of a relaxed CeP2PdO8 crystal.

Properties
**Crystal system**: trigonal
**ρ**: 4.46 Mg/m³
**V**: 162.5 Å³/cell
**Fermi-level density of states**: 3.421 states/eV per cell
**Magnetization**: 2.11 μB/f.u.
**Formation energy (no corrections)**: -2.081 eV/atom

Cell lengths 5.1995, 5.1995, 6.9410 Å; angles 90.00, 90.00, 120.00 degrees
Closest atoms and distances in Å follow each position.
Space group P-3m1 (No. 164)
One atom of each set of equivalent atoms:
Ce 0.0000 0.0000 0.0000 [1 per cell]  6 O 2.41
P 0.3333 0.6667 0.2030 [2 per cell]  4 O 1.54-1.55
Pd 0.0000 0.0000 0.5000 [1 per cell]  6 O 2.21
O 0.1690 0.3379 0.2697 [6 per cell]  1 P 1.55
O 0.3333 0.6667 0.9814 [2 per cell]  1 P 1.54

[11]
The following is a DFT calculation (GGA-PBE) of a relaxed CePm2PO8 crystal.

Properties
**Crystal system**: trigonal
**ρ**: 6.64 Mg/m³
**V**: 147.3 Å³/cell
**Fermi-level density of states**: 6.106 states/eV per cell
**Magnetization**: 1.01 μB/f.u.
**Formation energy (no corrections)**: -2.510 eV/atom

Cell lengths 5.1894, 5.1894, 6.3151 Å; angles 90.00, 90.00, 120.00 degrees
Closest atoms and distances in Å follow each position.
Space group P-3m1 (No. 164)
One atom of each set of equivalent atoms:
Ce 0.0000 0.0000 0.0000 [1 per cell]  6 O 2.54
Pm 0.3333 0.6667 0.3613 [2 per cell]  1 O 2.13
P 0.0000 0.0000 0.5000 [1 per cell]  6 O 1.71
O 0.1526 0.3051 0.6616 [6 per cell]  1 P 1.71
O 0.3333 0.6667 0.0247 [2 per cell]  1 Pm 2.13

[12]
The following is a DFT calculation (GGA-PBE) of a relaxed CePrPO2 crystal.

Properties
**Crystal system**: tetragonal
**ρ**: 6.17 Mg/m³
**V**: 185.2 Å³/cell
**Fermi-level density of states**: 0.627 states/eV per cell
**Magnetization**: 0.16 μB/f.u.
**Formation energy (no corrections)**: -2.608 eV/atom

Cell lengths 3.8667, 3.8667, 12.3852 Å; angles 90.00, 90.00, 90.00 degrees
Closest atoms and distances in Å follow each position.
Space group I4mm (No. 107)
One atom of each set of equivalent atoms:
Ce 0.0000 0.0000 0.0000 [2 per cell]  4 O 2.27
Pr 0.0000 0.0000 0.2924 [2 per cell]  4 O 2.38
P 0.0000 0.0000 0.6439 [2 per cell]  4 Ce 3.26, 4 Pr 3.30, 4 O 3.54
O 0.0000 0.5000 0.4044 [4 per cell]  2 Ce 2.27, 2 Pr 2.38

[13]
The following is a DFT calculation (GGA-PBE) of a relaxed CeP2PtO8 crystal.

Properties
**Crystal system**: monoclinic
**ρ**: 5.13 Mg/m³
**V**: 340.1 Å³/cell
**Fermi-level density of states**: 9.706 states/eV per cell
**Magnetization**: 0.04 μB/f.u.
**Formation energy (no corrections)**: -2.116 eV/atom

Cell lengths 10.0048, 5.0503, 7.5104 Å; angles 90.00, 116.32, 90.00 degrees
Closest atoms and distances in Å follow each position.
Space group C2/m (No. 12)
One atom of each set of equivalent atoms:
Ce 0.0000 0.0000 0.0000 [2 per cell]  6 O 2.27-2.53
P 0.1161 0.5000 0.8117 [4 per cell]  4 O 1.52-1.58
Pt 0.0000 0.0000 0.5000 [2 per cell]  4 O 2.01
O 0.0162 0.2475 0.7181 [8 per cell]  1 P 1.58
O 0.1424 0.5000 0.0273 [4 per cell]  1 P 1.52
O 0.2444 0.0000 0.2233 [4 per cell]  1 P 1.53

[14]
The following is a DFT calculation (GGA-PBE) of a relaxed RbCePO5 crystal.

Properties
**Crystal system**: monoclinic
**ρ**: 4.21 Mg/m³
**V**: 531.6 Å³/cell
**Fermi-level density of states**: 0.000 states/eV per cell
**Magnetization**: 0.00 μB/f.u.
**Formation energy (no corrections)**: -2.690 eV/atom

Cell lengths 7.3943, 9.8733, 8.0175 Å; angles 90.00, 114.74, 90.00 degrees
Closest atoms and distances in Å follow each position.
Space group C2/c (No. 15)
One atom of each set of equivalent atoms:
Rb 0.0000 0.1625 0.2500 [4 per cell]  5 O 2.72-2.94
Ce 0.0000 0.5000 0.0000 [4 per cell]  2 O 2.10
P 0.0000 0.1884 0.7500 [4 per cell]  4 O 1.56-1.57
O 0.0000 0.4380 0.2500 [4 per cell]  2 Ce 2.10
O 0.0737 0.2803 0.6314 [8 per cell]  1 P 1.57
O 0.1732 0.0952 0.8775 [8 per cell]  1 P 1.56

[15]
The following is a DFT calculation (GGA-PBE) of a relaxed Rb2CePO6 crystal.

Properties
**Crystal system**: trigonal
**ρ**: 3.59 Mg/m³
**V**: 202.4 Å³/cell
**Fermi-level density of states**: 1.754 states/eV per cell
**Magnetization**: 1.05 μB/f.u.
**Formation energy (no corrections)**: -2.047 eV/atom

Cell lengths 6.4380, 6.4380, 5.6374 Å; angles 90.00, 90.00, 120.00 degrees
Closest atoms and distances in Å follow each position.
Space group P-3m1 (No. 164)
One atom of each set of equivalent atoms:
Rb 0.3333 0.6667 0.1087 [2 per cell]  3 O 2.84
Ce 0.0000 0.0000 0.5000 [1 per cell]  6 O 2.27
P 0.0000 0.0000 0.0000 [1 per cell]  6 O 1.73
O 0.1252 0.2503 0.8178 [6 per cell]  1 P 1.73

[16]
The following is a DFT calculation (GGA-PBE) of a relaxed CePRhO crystal.

Properties
**Crystal system**: tetragonal
**ρ**: 7.50 Mg/m³
**V**: 128.4 Å³/cell
**Fermi-level density of states**: 8.628 states/eV per cell
**Magnetization**: 0.28 μB/f.u.
**Formation energy (no corrections)**: -2.066 eV/atom

Cell lengths 3.9410, 3.9410, 8.2680 Å; angles 90.00, 90.00, 90.00 degrees
Closest atoms and distances in Å follow each position.
Space group P4/nmm (No. 129, origin choice 2)
One atom of each set of equivalent atoms:
Ce 0.2500 0.2500 0.1515 [2 per cell]  4 O 2.33
P 0.2500 0.2500 0.6601 [2 per cell]  4 Rh 2.37
Rh 0.2500 0.7500 0.5000 [2 per cell]  4 P 2.37
O 0.2500 0.7500 0.0000 [2 per cell]  4 Ce 2.33

[17]
The following is a DFT calculation (GGA-PBE) of a relaxed CeP2RhO8 crystal.

Properties
**Crystal system**: trigonal
**ρ**: 4.55 Mg/m³
**V**: 157.9 Å³/cell
**Fermi-level density of states**: 8.323 states/eV per cell
**Magnetization**: 1.05 μB/f.u.
**Formation energy (no corrections)**: -2.139 eV/atom

Cell lengths 5.1466, 5.1466, 6.8815 Å; angles 90.00, 90.00, 120.00 degrees
Closest atoms and distances in Å follow each position.
Space group P-3m1 (No. 164)
One atom of each set of equivalent atoms:
Ce 0.0000 0.0000 0.0000 [1 per cell]  6 O 2.51
P 0.3333 0.6667 0.2308 [2 per cell]  4 O 1.54-1.55
Rh 0.0000 0.0000 0.5000 [1 per cell]  6 O 2.05
O 0.1668 0.3335 0.2944 [6 per cell]  1 P 1.55
O 0.3333 0.6667 0.0075 [2 per cell]  1 P 1.54

[18]
The following is a DFT calculation (GGA-PBE) of a relaxed Ce5Sb2PO crystal.

Properties
**Crystal system**: tetragonal
**ρ**: 6.89 Mg/m³
**V**: 238.7 Å³/cell
**Fermi-level density of states**: 27.228 states/eV per cell
**Magnetization**: 3.53 μB/f.u.
**Formation energy (no corrections)**: -1.346 eV/atom

Cell lengths 4.5897, 4.5897, 11.3320 Å; angles 90.00, 90.00, 90.00 degrees
Closest atoms and distances in Å follow each position.
Space group P4/mmm (No. 123)
One atom of each set of equivalent atoms:
Ce 0.0000 0.0000 0.0000 [1 per cell]  4 P 3.25, 2 Sb 3.26
Ce 0.0000 0.5000 0.5000 [2 per cell]  2 O 2.29
Ce 0.5000 0.5000 0.2467 [2 per cell]  1 P 2.80, 1 O 2.87
Sb 0.0000 0.0000 0.2880 [2 per cell]  9 Ce 3.26-3.32
P 0.5000 0.5000 0.0000 [1 per cell]  2 Ce 2.80
O 0.5000 0.5000 0.5000 [1 per cell]  4 Ce 2.29

[19]
The following is a DFT calculation (GGA-PBE) of a relaxed CeSbP2O8 crystal.

Properties
**Crystal system**: trigonal
**ρ**: 4.25 Mg/m³
**V**: 176.4 Å³/cell
**Fermi-level density of states**: 7.136 states/eV per cell
**Magnetization**: 1.00 μB/f.u.
**Formation energy (no corrections)**: -2.282 eV/atom

Cell lengths 5.2640, 5.2640, 7.3493 Å; angles 90.00, 90.00, 120.00 degrees
Closest atoms and distances in Å follow each position.
Space group P-3 (No. 147)
One atom of each set of equivalent atoms:
Ce 0.0000 0.0000 0.0000 [1 per cell]  6 O 2.56
Sb 0.0000 0.0000 0.5000 [1 per cell]  6 O 2.28
P 0.3333 0.6667 0.7945 [2 per cell]  4 O 1.53-1.56
O 0.1669 0.3439 0.7252 [6 per cell]  1 P 1.56
O 0.3333 0.6667 0.0028 [2 per cell]  1 P 1.53

[20]
The following is a DFT calculation (GGA-PBE) of a relaxed CeScPO2 crystal.

Properties
**Crystal system**: orthorhombic
**ρ**: 5.37 Mg/m³
**V**: 306.8 Å³/cell
**Fermi-level density of states**: 7.958 states/eV per cell
**Magnetization**: 0.19 μB/f.u.
**Formation energy (no corrections)**: -2.644 eV/atom

Cell lengths 3.7322, 11.6064, 7.0823 Å; angles 90.00, 90.00, 90.00 degrees
Closest atoms and distances in Å follow each position.
Space group Cmcm (No. 63)
One atom of each set of equivalent atoms:
Ce 0.0000 0.2290 0.2500 [4 per cell]  6 O 2.38-2.48
Sc 0.0000 0.5000 0.0000 [4 per cell]  2 O 2.07
P 0.0000 0.0431 0.7500 [4 per cell]  4 Sc 2.62
O 0.0000 0.3256 0.5623 [8 per cell]  1 Sc 2.07